Arrangement 1

Density functional theory data (PBE-GGA) for a relaxed LaTaCu2 crystal.

```
LaTaCu2
1.0
3.225 0.000 0.000
0.000 3.225 0.000
0.000 0.000 7.277
La Ta Cu
1 1 2
direct
0.000 0.000 0.000
0.000 0.000 0.500
0.500 0.500 0.307
0.500 0.500 0.693
```

SG: No. 123
crystal system: tetragonal
magnetic moment: 0.0 μB/f.u.

Arrangement 2

Density functional theory data (PBE-GGA) for a relaxed LaTaCu2 crystal.

```
LaTaCu2
1.0
1.613 0.931 8.770
-1.613 0.931 8.770
0.000 -1.863 8.770
La Ta Cu
1 1 2
direct
0.000 0.000 0.000
0.500 0.500 0.500
0.237 0.237 0.237
0.763 0.763 0.763
```

SG: No. 166
crystal system: trigonal
magnetic moment: 0.4 μB/f.u.

arrangement 1 (0.298 eV/atom below the next structure)

Arrangement 1

Density functional theory data (PBE-GGA) for a relaxed LaTaCu2 crystal.

```
LaTaCu2
1.0
-3.762 3.762 2.934
3.762 -3.762 2.934
3.762 3.762 -2.934
La Ta Cu
2 2 4
direct
0.000 0.000 0.000
0.750 0.250 0.500
0.250 0.750 0.500
0.500 0.500 0.000
0.171 0.625 0.046
0.375 0.421 0.546
0.579 0.125 0.954
0.875 0.829 0.454
```

SG: No. 122
crystal system: tetragonal
magnetic moment: 0.0 μB/f.u.

Arrangement 2

Density functional theory data (PBE-GGA) for a relaxed LaTaCu2 crystal.

```
LaTaCu2
1.0
3.197 0.000 0.000
0.000 4.175 0.000
-1.594 0.000 5.809
La Ta Cu
1 1 2
direct
0.000 0.000 0.000
0.696 0.500 0.391
0.264 0.000 0.523
0.382 0.500 0.765
```

SG: No. 6
crystal system: monoclinic
magnetic moment: 0.0 μB/f.u.

arrangement 2 (0.298 eV/atom below the next structure)

Arrangement 1

Density functional theory data (PBE-GGA) for a relaxed LaTaCu2 crystal.

```
LaTaCu2
1.0
0.000 3.352 3.352
3.352 0.000 3.352
3.352 3.352 0.000
La Ta Cu
1 1 2
direct
0.000 0.000 0.000
0.750 0.750 0.750
0.250 0.250 0.250
0.500 0.500 0.500
```

SG: No. 216
crystal system: cubic
magnetic moment: 1.9 μB/f.u.

Arrangement 2

Density functional theory data (PBE-GGA) for a relaxed LaTaCu2 crystal.

```
LaTaCu2
1.0
-2.026 2.026 4.598
2.026 -2.026 4.598
2.026 2.026 -4.598
La Ta Cu
1 1 2
direct
0.000 0.000 0.000
0.250 0.750 0.500
0.500 0.500 0.000
0.750 0.250 0.500
```

SG: No. 119
crystal system: tetragonal
magnetic moment: 0.0 μB/f.u.

arrangement 2 (0.175 eV/atom below the next structure)

Arrangement 1

Density functional theory data (PBE-GGA) for a relaxed LaTaCu2 crystal.

```
LaTaCu2
1.0
3.165 0.000 0.000
0.000 3.165 0.000
0.000 0.000 7.458
La Ta Cu
1 1 2
direct
0.000 0.000 0.000
0.500 0.500 0.332
0.000 0.000 0.539
0.500 0.500 0.698
```

SG: No. 99
crystal system: tetragonal
magnetic moment: 0.0 μB/f.u.

Arrangement 2

Density functional theory data (PBE-GGA) for a relaxed LaTaCu2 crystal.

```
LaTaCu2
1.0
2.172 1.254 5.272
-2.172 1.254 5.272
0.000 -2.507 5.272
La Ta Cu
1 1 2
direct
0.000 0.000 0.000
0.500 0.500 0.500
0.198 0.198 0.198
0.802 0.802 0.802
```

SG: No. 166
crystal system: trigonal
magnetic moment: 0.0 μB/f.u.

arrangement 2 (0.029 eV/atom below the next structure)

Arrangement 1

Density functional theory data (PBE-GGA) for a relaxed La2TaCu crystal.

```
La2TaCu
1.0
5.084 -1.658 0.000
5.084 1.658 0.000
-1.223 0.000 5.747
La Ta Cu
2 1 1
direct
0.236 0.236 0.233
0.764 0.764 0.767
0.000 0.000 0.500
0.500 0.500 0.000
```

SG: No. 12
crystal system: monoclinic
magnetic moment: 0.7 μB/f.u.

Arrangement 2

Density functional theory data (PBE-GGA) for a relaxed La2TaCu crystal.

```
La2TaCu
1.0
3.359 0.000 0.000
0.000 3.359 0.000
0.000 0.000 8.955
La Ta Cu
2 1 1
direct
0.000 0.000 0.000
0.500 0.500 0.377
0.000 0.000 0.630
0.500 0.500 0.765
```

SG: No. 99
crystal system: tetragonal
magnetic moment: 0.0 μB/f.u.

arrangement 2 (0.349 eV/atom below the next structure)

Arrangement 1

Density functional theory data (PBE-GGA) for a relaxed LaTa3Cu crystal.

```
LaTa3Cu
1.0
4.869 0.000 0.000
0.000 4.869 0.000
0.000 0.000 4.869
La Ta Cu
1 3 1
direct
0.000 0.000 0.000
0.000 0.000 0.500
0.000 0.500 0.000
0.500 0.000 0.000
0.500 0.500 0.500
```

SG: No. 221
crystal system: cubic
magnetic moment: 0.0 μB/f.u.

Arrangement 2

Density functional theory data (PBE-GGA) for a relaxed LaTa3Cu crystal.

```
LaTa3Cu
1.0
4.822 0.000 0.000
0.000 4.822 0.000
0.000 0.000 4.822
La Ta Cu
1 3 1
direct
0.000 0.000 0.000
0.000 0.500 0.500
0.500 0.000 0.500
0.500 0.500 0.000
0.500 0.500 0.500
```

SG: No. 221
crystal system: cubic
magnetic moment: 0.0 μB/f.u.

arrangement 2 (1.302 eV/atom below the next structure)